No. 1
Computed, not measured: Pm7NdPb2 after structural relaxation at the GGA-PBE level of DFT.

Cell: 9.2140 9.2140 5.6494 Å, 90.00 90.00 119.11°
Closest atoms and distances in Å follow each position.
Sites, in units of the cell vectors:
Pm: 0.0000 0.0000 0.0000  2 Pb 3.11
Pm: 0.1980 0.4414 0.0000  2 Pb 3.21-3.35, 2 Pm 3.37-3.56
Pm: 0.2734 0.7266 0.5000  2 Pb 3.08
Pm: 0.4414 0.1980 0.0000  2 Pb 3.21-3.35, 2 Pm 3.37-3.56
Pm: 0.5586 0.8020 0.0000  2 Pb 3.21-3.35, 2 Pm 3.37-3.56
Pm: 0.7266 0.2734 0.5000  2 Pb 3.08
Pm: 0.8020 0.5586 0.0000  2 Pb 3.21-3.35, 2 Pm 3.37-3.56
Nd: 0.5000 0.5000 0.5000  10 Pm 3.60-3.81
Pb: 0.1961 0.8039 0.0000  7 Pm 3.08-3.35
Pb: 0.8039 0.1961 0.0000  7 Pm 3.08-3.35

Results
The energy of formation is 0.248 eV per atom.

No. 2
Computed, not measured: AcTh5Sb6 after structural relaxation at the GGA-PBE level of DFT.

Cell: 7.8742 7.8742 7.8914 Å, 99.58 99.58 120.06°
Closest atoms and distances in Å follow each position.
Sites, in units of the cell vectors:
Ac: 0.0000 0.0000 0.0000  6 Sb 3.28-3.31
Th: 0.1615 0.8385 0.5000  6 Sb 3.18-3.22
Th: 0.3322 0.6678 0.0000  6 Sb 3.20-3.22
Th: 0.5000 0.5000 0.5000  6 Sb 3.15-3.21
Th: 0.6678 0.3322 0.0000  6 Sb 3.20-3.22
Th: 0.8385 0.1615 0.5000  6 Sb 3.18-3.22
Sb: 0.0862 0.4283 0.2572  5 Th 3.18-3.22, 1 Ac 3.31
Sb: 0.2594 0.2594 0.7493  5 Th 3.15-3.20, 1 Ac 3.28
Sb: 0.4283 0.0862 0.2572  5 Th 3.18-3.22, 1 Ac 3.31
Sb: 0.5717 0.9138 0.7428  5 Th 3.18-3.22, 1 Ac 3.31
Sb: 0.7406 0.7406 0.2507  5 Th 3.15-3.20, 1 Ac 3.28
Sb: 0.9138 0.5717 0.7428  5 Th 3.18-3.22, 1 Ac 3.31

Results
The value obtained for the formation energy without anion corrections is -1097 kJ/mol of formula units.

Number 1: final energy -4.30 eV/atom. Number 2: final energy -6.44 eV/atom.